# Co3Sb4O6F6

An optimized crystal structure of Co3Sb4O6F6 (PBE with a Hubbard U, the Alexandria database).

Summary:
V = 571.86 Å³/cell
D(E_F) = 0.0 states/eV per cell
final energy = -5.5275 eV per atom

a = 8.300 Å, b = 8.300 Å, c = 8.300 Å
α = 90.00°, β = 90.00°, γ = 90.00°
Space group I-43m (No. 217)
Asymmetric unit:
Co: 0.000 0.000 0.500
Sb: 0.159 0.159 0.159
O: 0.000 0.000 0.249
F: 0.000 0.250 0.500